The following is a GGA-PBE calculation of a relaxed Al4Fe3Ni crystal, from the Alexandria database.

Results
E_form in eV/atom: -0.422
Space-group type: P4/mmm, No. 123
E_tot in eV per atom: -6.1895

Cell lengths 2.8852, 2.8852, 11.4167 Å; angles 90.00, 90.00, 90.00 degrees
Fractional coordinates of all 8 atoms:
Ni 0.5000 0.5000 0.0000
Fe 0.5000 0.5000 0.2495
Al 0.0000 0.0000 0.3732
Al 0.0000 0.0000 0.1291
Al 0.0000 0.0000 0.8709
Fe 0.5000 0.5000 0.7505
Fe 0.5000 0.5000 0.5000
Al 0.0000 0.0000 0.6268

The following is a GGA-PBE calculation of a relaxed Al4FeNi2 crystal, from the Alexandria database.

Results
E_form in eV/atom: -0.544
Space-group type: R-3m, No. 166
E_tot in eV per atom: -5.5435

Cell lengths 4.0420, 4.0420, 6.9462 Å; angles 73.08, 73.08, 60.00 degrees
Fractional coordinates of all 7 atoms:
Al 0.3779 0.3779 0.8663
Al 0.6221 0.6221 0.1337
Al 0.8722 0.8722 0.3834
Fe 0.0000 0.0000 0.0000
Al 0.1278 0.1278 0.6166
Ni 0.7472 0.7472 0.7584
Ni 0.2528 0.2528 0.2416

no.,mass density (kg/m3)
1,5839
2,5043